Record 1
Below is LaY2Pt after structural relaxation, with properties calculated at the GGA-PBE level.

Calculated values
- formation energy (eV per atom) = -0.3088
- total moment (μB per cell) = 0.02
- space-group type = No. 139
- energy above the lowest structure with this stoichiometry (eV per atom) = 0.375

Cell: 6.361 6.361 6.361 Å, 139.48 139.48 58.65°
Fractional positions:
La (0.000, 0.000, 0.000)
Y (0.250, 0.750, 0.500)
Y (0.750, 0.250, 0.500)
Pt (0.500, 0.500, 0.000)



Record 2
Below is LaYPt2 after structural relaxation, with properties calculated at the GGA-PBE level.

Calculated values
- formation energy (eV per atom) = -1.1358
- total moment (μB per cell) = 0.00
- space-group type = No. 166
- energy above the lowest structure with this stoichiometry (eV per atom) = 0.081

Cell: 7.210 7.210 7.210 Å, 33.58 33.58 33.58°
Fractional positions:
La (0.000, 0.000, 0.000)
Y (0.500, 0.500, 0.500)
Pt (0.246, 0.246, 0.246)
Pt (0.754, 0.754, 0.754)